{"formula": "PmPd15Pb4", "functional": "PBE-GGA", "state": "relaxed", "lattice_angstrom": [[-0.6813, 3.8817, 1.2320], [0.8550, -1.0850, 3.8912], [19.8564, 4.4741, -3.1153]], "species": ["Pb", "Pb", "Pb", "Pb", "Pd", "Pd", "Pd", "Pd", "Pd", "Pd", "Pd", "Pd", "Pd", "Pd", "Pd", "Pd", "Pd", "Pd", "Pd", "Pm"], "frac_coords": [[0.0000, 0.0000, 0.2024], [0.0000, 0.0000, 0.7976], [0.0000, 0.0000, 0.5992], [0.0000, 0.0000, 0.4008], [0.5000, 0.5000, 0.5994], [0.5000, 0.0000, 0.3013], [0.5000, 0.5000, 0.7974], [0.0000, 0.5000, 0.8967], [0.5000, 0.5000, 0.0000], [0.0000, 0.5000, 0.5000], [0.0000, 0.5000, 0.3013], [0.0000, 0.5000, 0.1033], [0.5000, 0.0000, 0.5000], [0.0000, 0.5000, 0.6987], [0.5000, 0.5000, 0.2026], [0.5000, 0.0000, 0.1033], [0.5000, 0.5000, 0.4006], [0.5000, 0.0000, 0.8967], [0.5000, 0.0000, 0.6987], [0.0000, 0.0000, 0.0000]], "e_form_ev_per_atom": -0.390, "energy_ev_per_fu": -105.3, "dos_at_fermi_per_ev_cell": 3.16}



{"formula": "Pm7Pd4Pb", "functional": "PBE-GGA", "state": "relaxed", "lattice_angstrom": [[-5.1293, -0.8532, 2.7851], [-5.0356, -5.3898, -4.6786], [-0.2499, -6.4182, 3.8202]], "species": ["Pb", "Pd", "Pd", "Pd", "Pd", "Pm", "Pm", "Pm", "Pm", "Pm", "Pm", "Pm"], "frac_coords": [[0.0000, 0.0000, 0.0000], [0.7029, 0.6630, 0.9313], [0.5550, 0.2379, 0.6522], [0.2971, 0.3370, 0.0687], [0.4450, 0.7621, 0.3478], [0.2015, 0.1073, 0.4897], [0.7985, 0.8927, 0.5103], [0.0714, 0.6213, 0.2360], [0.9286, 0.3787, 0.7640], [0.6842, 0.3689, 0.2628], [0.3158, 0.6311, 0.7372], [0.5000, 0.0000, 0.0000]], "e_form_ev_per_atom": -0.422, "energy_ev_per_fu": -62.8, "dos_at_fermi_per_ev_cell": 12.02}



{"formula": "PmPd4Pb2", "functional": "PBE-GGA", "state": "relaxed", "lattice_angstrom": [[4.5577, 0.0000, 0.0000], [0.0000, 7.9912, 0.0000], [0.0000, 0.0000, 7.9912]], "species": ["Pd", "Pd", "Pd", "Pd", "Pd", "Pd", "Pd", "Pd", "Pb", "Pb", "Pb", "Pb", "Pm", "Pm"], "frac_coords": [[0.0000, 0.3644, 0.1074], [0.5000, 0.3926, 0.8644], [0.5000, 0.6074, 0.1356], [0.5000, 0.1356, 0.6074], [0.0000, 0.1074, 0.3644], [0.0000, 0.8926, 0.6356], [0.5000, 0.8644, 0.3926], [0.0000, 0.6356, 0.8926], [0.5000, 0.2921, 0.2921], [0.0000, 0.2079, 0.7921], [0.5000, 0.7079, 0.7079], [0.0000, 0.7921, 0.2079], [0.0000, 0.5000, 0.5000], [0.5000, 0.0000, 0.0000]], "e_form_ev_per_atom": -0.395, "energy_ev_per_fu": -35.7, "dos_at_fermi_per_ev_cell": 11.00}



{"formula": "PmPd9Pb2", "functional": "PBE-GGA", "state": "relaxed", "lattice_angstrom": [[4.1464, 0.0000, 0.0000], [0.0000, 4.1464, 0.0000], [0.0000, 0.0000, 12.3429]], "species": ["Pb", "Pb", "Pd", "Pd", "Pd", "Pd", "Pd", "Pd", "Pd", "Pd", "Pd", "Pm"], "frac_coords": [[0.0000, 0.0000, 0.6650], [0.0000, 0.0000, 0.3350], [0.5000, 0.0000, 0.5000], [0.5000, 0.5000, 0.6632], [0.0000, 0.5000, 0.5000], [0.5000, 0.0000, 0.8286], [0.5000, 0.5000, 0.3368], [0.0000, 0.5000, 0.1714], [0.0000, 0.5000, 0.8286], [0.5000, 0.5000, 0.0000], [0.5000, 0.0000, 0.1714], [0.0000, 0.0000, 0.0000]], "e_form_ev_per_atom": -0.455, "energy_ev_per_fu": -64.4, "dos_at_fermi_per_ev_cell": 4.10}



{"formula": "Pm2Pd5Pb3", "functional": "PBE-GGA", "state": "relaxed", "lattice_angstrom": [[-3.8378, 3.7894, -3.0262], [-7.5037, 1.4273, 4.9843], [1.9583, 8.6683, 2.0519]], "species": ["Pb", "Pb", "Pb", "Pb", "Pb", "Pb", "Pd", "Pd", "Pd", "Pd", "Pd", "Pd", "Pd", "Pd", "Pd", "Pd", "Pm", "Pm", "Pm", "Pm"], "frac_coords": [[0.1380, 0.2378, 0.4862], [0.7500, 0.0000, 0.0000], [0.3620, 0.5138, 0.7622], [0.8620, 0.7622, 0.5138], [0.2500, 0.0000, 0.0000], [0.6380, 0.4862, 0.2378], [0.2500, 0.5000, 0.5000], [0.3832, 0.2772, 0.9564], [0.4795, 0.7705, 0.7705], [0.0205, 0.2295, 0.2295], [0.6168, 0.7228, 0.0436], [0.8832, 0.9564, 0.2772], [0.5205, 0.2295, 0.2295], [0.9795, 0.7705, 0.7705], [0.7500, 0.5000, 0.5000], [0.1168, 0.0436, 0.7228], [0.6245, 0.1453, 0.6057], [0.8755, 0.3943, 0.8547], [0.3755, 0.8547, 0.3943], [0.1245, 0.6057, 0.1453]], "e_form_ev_per_atom": -0.451, "energy_ev_per_fu": -51.1, "dos_at_fermi_per_ev_cell": 11.78}



{"formula": "PmPd4Pb3", "functional": "PBE-GGA", "state": "relaxed", "lattice_angstrom": [[4.6522, 0.0000, 1.3733], [2.1234, 4.1393, 1.3733], [-0.0935, -0.0571, 8.8835]], "species": ["Pb", "Pb", "Pb", "Pd", "Pd", "Pd", "Pd", "Pm"], "frac_coords": [[0.5000, 0.5000, 0.5000], [0.7462, 0.7462, 0.7615], [0.2538, 0.2538, 0.2385], [0.1199, 0.1199, 0.6404], [0.6187, 0.6187, 0.1438], [0.3813, 0.3813, 0.8562], [0.8801, 0.8801, 0.3596], [0.0000, 0.0000, 0.0000]], "e_form_ev_per_atom": -0.394, "energy_ev_per_fu": -39.8, "dos_at_fermi_per_ev_cell": 4.42}